# SrNiTe

SrNiTe after structural relaxation (PBE-GGA, the Alexandria database).

POSCAR file:
```
SrNiTe
1.0
5.5363 0.0000 0.0000
-2.7681 4.7945 0.0000
0.0000 0.0000 9.3951
Sr Ni Te
2 2 2
direct
0.3333 0.6667 0.2500 Sr
0.6667 0.3333 0.7500 Sr
0.0000 0.0000 0.0000 Ni
0.0000 0.0000 0.5000 Ni
0.0000 0.0000 0.2500 Te
0.0000 0.0000 0.7500 Te
```

Properties
The calculation puts the volume at 41.56 Å³ per atom. Its raw formation energy is -89 kJ/mol of formula units. For the density of states at the Fermi level, the calculation gives 0.00 states/eV/f.u. The total DFT energy (no corrections) is -3.843 eV/atom. Its symmetry is P6_3/mmc (194).